(1)
Entry from Alexandria via LeMat-Bulk: a relaxed structure of K4IO4 (PBE).

The space group is I4/m (No. 87) and the conventional cell measures 8.3517, 8.3517 and 5.4130 Å, with angles of 90.00, 90.00 and 90.00 degrees. The inequivalent atoms are K at (0.1050, 0.6984, 0.0000), I at (0.0000, 0.0000, 0.5000) and O at (0.0758, 0.7615, 0.5000).

Its electronic total energy is -3.939 eV/atom. The spin magnetization comes out at 0.96 μB/f.u. The uncorrected formation energy is -1.075 eV/atom.

***

(2)
Entry from Alexandria via LeMat-Bulk: a relaxed structure of K3I2O7 (PBE).

The space group is Cmmm (No. 65) and the conventional cell measures 4.1729, 22.7370 and 4.1381 Å, with angles of 90.00, 90.00 and 90.00 degrees. The inequivalent atoms are K at (0.0000, 0.0000, 0.0000), K at (0.0000, 0.1831, 0.0000), I at (0.0000, 0.4047, 0.5000), O at (0.0000, 0.0953, 0.5000), O at (0.0000, 0.3219, 0.5000), O at (0.0000, 0.4045, 0.0000) and O at (0.0000, 0.5000, 0.5000).

Its electronic total energy is -4.280 eV/atom. The spin magnetization comes out at 0.00 μB/f.u. The uncorrected formation energy is -0.855 eV/atom.

***

(3)
Entry from Alexandria via LeMat-Bulk: a relaxed structure of KI2O2 (PBE).

The space group is P4/mmm (No. 123) and the conventional cell measures 4.6404, 4.6404 and 6.6790 Å, with angles of 90.00, 90.00 and 90.00 degrees. The inequivalent atoms are K at (0.0000, 0.0000, 0.0000), I at (0.0000, 0.5000, 0.5000), O at (0.5000, 0.5000, 0.0000) and O at (0.5000, 0.5000, 0.5000).

Its electronic total energy is -2.809 eV/atom. The spin magnetization comes out at 1.24 μB/f.u. The uncorrected formation energy is 0.014 eV/atom.

***

(4)
Entry from Alexandria via LeMat-Bulk: a relaxed structure of K5IO (PBE).

The space group is C2/c (No. 15) and the conventional cell measures 13.8115, 9.6460 and 10.8529 Å, with angles of 90.00, 113.85 and 90.00 degrees. The inequivalent atoms are K at (0.0000, 0.0563, 0.2500), K at (0.0301, 0.2657, 0.9713), K at (0.2106, 0.0306, 0.6143), I at (0.0000, 0.4327, 0.2500) and O at (0.0000, 0.0000, 0.0000).

Its electronic total energy is -2.542 eV/atom. The spin magnetization comes out at 0.00 μB/f.u. The uncorrected formation energy is -0.828 eV/atom.

***

(5)
Entry from Alexandria via LeMat-Bulk: a relaxed structure of K6I4O (PBE).

The space group is P4/mnc (No. 128) and the conventional cell measures 9.6970, 9.6970 and 10.2135 Å, with angles of 90.00, 90.00 and 90.00 degrees. The inequivalent atoms are K at (0.0000, 0.0000, 0.2497), K at (0.0825, 0.2632, 0.0000), I at (0.1717, 0.6717, 0.2500) and O at (0.0000, 0.0000, 0.0000).

Its electronic total energy is -2.964 eV/atom. The spin magnetization comes out at 0.14 μB/f.u. The uncorrected formation energy is -1.351 eV/atom.

***

(6)
Entry from Alexandria via LeMat-Bulk: a relaxed structure of K7I4O (PBE).

The space group is C2/m (No. 12) and the conventional cell measures 18.8250, 5.2445 and 12.2696 Å, with angles of 90.00, 116.96 and 90.00 degrees. The inequivalent atoms are K at (0.0000, 0.0000, 0.0000), K at (0.1008, 0.5000, 0.2305), K at (0.1197, 0.5000, 0.9385), K at (0.1521, 0.0000, 0.5967), I at (0.0103, 0.0000, 0.7083), I at (0.2258, 0.0000, 0.1719) and O at (0.0000, 0.5000, 0.0000).

Its electronic total energy is -2.796 eV/atom. The spin magnetization comes out at 0.34 μB/f.u. The uncorrected formation energy is -1.226 eV/atom.

***

Look up the spin magnetization of the sixth one. 0.34 μB/f.u.